Ta3RhF: optimized geometry, GGA-PBE. Values from VASP.

Space group: Pm-3m (221)
Formation energy (no corrections) in eV per formula unit: 0.63
E_tot in Ry per atom: -0.6490

Geometry as Quantum ESPRESSO input:
```
&SYSTEM
  ibrav = 0, nat = 5, ntyp = 3
/
ATOMIC_SPECIES
F 19.00 F.upf
Rh 102.91 Rh.upf
Ta 180.95 Ta.upf
CELL_PARAMETERS angstrom
-3.051 2.510 -1.626
-2.965 -2.839 1.182
-0.387 1.973 3.770
ATOMIC_POSITIONS crystal
F 0.000 0.000 0.000
Rh 0.500 0.500 0.500
Ta 0.000 0.500 0.000
Ta 0.000 0.000 0.500
Ta 0.500 0.000 0.000
```


Ta2RhF: optimized geometry, GGA-PBE. Values from VASP.

Space group: Fm-3m (225)
Formation energy (no corrections) in eV per formula unit: -1.63
E_tot in Ry per atom: -0.6350

Geometry as Quantum ESPRESSO input:
```
&SYSTEM
  ibrav = 0, nat = 4, ntyp = 3
/
ATOMIC_SPECIES
F 19.00 F.upf
Rh 102.91 Rh.upf
Ta 180.95 Ta.upf
CELL_PARAMETERS angstrom
-3.238 1.903 2.335
-1.387 4.066 -1.050
-3.992 0.574 -1.815
ATOMIC_POSITIONS crystal
F 0.000 0.000 0.000
Rh 0.500 0.500 0.500
Ta 0.250 0.250 0.250
Ta 0.750 0.750 0.750
```


TaRh2F: optimized geometry, GGA-PBE. Values from VASP.

Space group: Fm-3m (225)
Formation energy (no corrections) in eV per formula unit: -1.42
E_tot in Ry per atom: -0.5484

Geometry as Quantum ESPRESSO input:
```
&SYSTEM
  ibrav = 0, nat = 4, ntyp = 3
/
ATOMIC_SPECIES
F 19.00 F.upf
Rh 102.91 Rh.upf
Ta 180.95 Ta.upf
CELL_PARAMETERS angstrom
0.744 0.703 4.217
-2.653 -1.699 2.984
1.376 -3.245 2.531
ATOMIC_POSITIONS crystal
F 0.000 0.000 0.000
Rh 0.250 0.250 0.250
Rh 0.750 0.750 0.750
Ta 0.500 0.500 0.500
```


TaRh2F2: optimized geometry, GGA-PBE. Values from VASP.

Space group: P4/mbm (127)
Formation energy (no corrections) in eV per formula unit: -0.32
E_tot in Ry per atom: -0.4500

Geometry as Quantum ESPRESSO input:
```
&SYSTEM
  ibrav = 0, nat = 10, ntyp = 3
/
ATOMIC_SPECIES
F 19.00 F.upf
Rh 102.91 Rh.upf
Ta 180.95 Ta.upf
CELL_PARAMETERS angstrom
-0.391 -4.726 4.815
1.673 -4.740 -4.517
2.946 0.420 0.651
ATOMIC_POSITIONS crystal
F 0.134 0.634 0.500
F 0.634 0.866 0.500
F 0.866 0.366 0.500
F 0.366 0.134 0.500
Rh 0.345 0.845 0.000
Rh 0.845 0.655 0.000
Rh 0.655 0.155 0.000
Rh 0.155 0.345 0.000
Ta 0.000 0.000 0.000
Ta 0.500 0.500 0.000
```


TaRhF2: optimized geometry, GGA-PBE. Values from VASP.

Space group: Fm-3m (225)
Formation energy (no corrections) in eV per formula unit: -1.17
E_tot in Ry per atom: -0.4432

Geometry as Quantum ESPRESSO input:
```
&SYSTEM
  ibrav = 0, nat = 4, ntyp = 3
/
ATOMIC_SPECIES
F 19.00 F.upf
Rh 102.91 Rh.upf
Ta 180.95 Ta.upf
CELL_PARAMETERS angstrom
0.000 2.932 2.932
2.932 0.000 2.932
2.932 2.932 0.000
ATOMIC_POSITIONS crystal
F 0.250 0.250 0.250
F 0.750 0.750 0.750
Rh 0.000 0.000 0.000
Ta 0.500 0.500 0.500
```


TbRh2F8: optimized geometry, GGA-PBE. Values from VASP.

Space group: C2/m (12)
Formation energy (no corrections) in eV per formula unit: -24.86
E_tot in Ry per atom: -0.3953

Geometry as Quantum ESPRESSO input:
```
&SYSTEM
  ibrav = 0, nat = 11, ntyp = 3
/
ATOMIC_SPECIES
Rh 102.91 Rh.upf
Tb 158.93 Tb.upf
F 19.00 F.upf
CELL_PARAMETERS angstrom
-0.975 -2.827 3.254
-4.645 -3.498 -4.425
5.928 -1.392 0.914
ATOMIC_POSITIONS crystal
Rh 0.256 0.384 0.768
Rh 0.744 0.616 0.232
Tb 0.000 0.000 0.000
F 0.247 0.593 0.186
F 0.753 0.407 0.814
F 0.750 0.885 0.216
F 0.264 0.181 0.362
F 0.250 0.668 0.783
F 0.250 0.115 0.784
F 0.736 0.819 0.638
F 0.750 0.332 0.217
```


Tb2RhF: optimized geometry, GGA-PBE. Values from VASP.

Space group: R-3m (166)
Formation energy (no corrections) in eV per formula unit: -6.38
E_tot in Ry per atom: -0.4568

Geometry as Quantum ESPRESSO input:
```
&SYSTEM
  ibrav = 0, nat = 4, ntyp = 3
/
ATOMIC_SPECIES
Rh 102.91 Rh.upf
Tb 158.93 Tb.upf
F 19.00 F.upf
CELL_PARAMETERS angstrom
3.921 0.000 0.000
1.961 3.396 0.000
1.961 1.132 6.306
ATOMIC_POSITIONS crystal
Rh 0.500 0.500 0.500
Tb 0.751 0.751 0.748
Tb 0.249 0.249 0.252
F 0.000 0.000 0.000
```


TcRhF2: optimized geometry, GGA-PBE. Values from VASP.

Space group: R-3m (166)
Formation energy (no corrections) in eV per formula unit: -1.96
E_tot in Ry per atom: -0.4303

Geometry as Quantum ESPRESSO input:
```
&SYSTEM
  ibrav = 0, nat = 4, ntyp = 3
/
ATOMIC_SPECIES
Rh 102.91 Rh.upf
Tc 98.00 Tc.upf
F 19.00 F.upf
CELL_PARAMETERS angstrom
1.541 0.000 7.916
-0.771 1.335 7.916
-0.771 -1.335 7.916
ATOMIC_POSITIONS crystal
Rh 0.000 0.000 0.000
Tc 0.500 0.500 0.500
F 0.914 0.914 0.914
F 0.086 0.086 0.086
```